No. 1
This record from Alexandria via LeMat-Bulk describes an optimized crystal structure of CuI2Cl8. The functional is GGA-PBE.

Uncorrected formation energy ... -0.147 eV per atom

Cell: 7.8266 7.8266 7.3287 Å, 105.61 105.61 81.23°
With the nearest neighbours (Å) after each atom.
Atoms (fractional coordinates):
Cu  0.0000  0.0000  0.0000  4 Cl 2.17
I  0.3208  0.3208  0.4606  2 Cl 2.41-2.59
I  0.6792  0.6792  0.5394  2 Cl 2.41-2.59
Cl  0.0361  0.7237  0.8430  1 Cu 2.17
Cl  0.2090  0.2090  0.6779  1 I 2.41
Cl  0.2763  0.9639  0.1570  1 Cu 2.17
Cl  0.4483  0.4483  0.2385  2 I 2.59-2.85
Cl  0.5517  0.5517  0.7615  2 I 2.59-2.85
Cl  0.7237  0.0361  0.8430  1 Cu 2.17
Cl  0.7910  0.7910  0.3221  1 I 2.41
Cl  0.9639  0.2763  0.1570  1 Cu 2.17

No. 2
This record from Alexandria via LeMat-Bulk describes an optimized crystal structure of NdPuMgIn. The functional is GGA-PBE.

Energy of formation from the pure elements ... -0.113 eV per atom

Cell: 7.6743 7.6743 7.6743 Å, 90.00 90.00 90.00°
With the nearest neighbours (Å) after each atom.
Atoms (fractional coordinates):
Nd  0.0000  0.0000  0.0000  4 In 3.32, 4 Mg 3.32
Nd  0.0000  0.5000  0.5000  4 In 3.32, 4 Mg 3.32
Nd  0.5000  0.0000  0.5000  4 In 3.32, 4 Mg 3.32
Nd  0.5000  0.5000  0.0000  4 In 3.32, 4 Mg 3.32
Pu  0.0000  0.0000  0.5000  4 Mg 3.32, 4 In 3.32
Pu  0.0000  0.5000  0.0000  4 Mg 3.32, 4 In 3.32
Pu  0.5000  0.0000  0.0000  4 Mg 3.32, 4 In 3.32
Pu  0.5000  0.5000  0.5000  4 Mg 3.32, 4 In 3.32
Mg  0.2500  0.2500  0.2500  4 Nd 3.32, 4 Pu 3.32
Mg  0.2500  0.7500  0.7500  4 Nd 3.32, 4 Pu 3.32
Mg  0.7500  0.2500  0.7500  4 Nd 3.32, 4 Pu 3.32
Mg  0.7500  0.7500  0.2500  4 Nd 3.32, 4 Pu 3.32
In  0.2500  0.2500  0.7500  4 Pu 3.32, 4 Nd 3.32
In  0.2500  0.7500  0.2500  4 Pu 3.32, 4 Nd 3.32
In  0.7500  0.2500  0.2500  4 Pu 3.32, 4 Nd 3.32
In  0.7500  0.7500  0.7500  4 Nd 3.32, 4 Pu 3.32

No. 3
This record from Alexandria via LeMat-Bulk describes an optimized crystal structure of CeU2PaC4. The functional is GGA-PBE.

Energy of formation from the pure elements ... -0.232 eV per atom

Cell: 6.1100 3.5679 6.1917 Å, 90.00 109.89 90.00°
With the nearest neighbours (Å) after each atom.
Atoms (fractional coordinates):
Ce  0.0000  0.0000  0.0000  6 C 2.64-2.66
U  0.5000  0.0000  0.5000  6 C 2.37-2.39
U  0.5000  0.5000  0.0000  6 C 2.45
Pa  0.0000  0.5000  0.5000  6 C 2.58-2.60
C  0.2757  0.0000  0.7506  3 U 2.39-2.45, 2 Pa 2.58, 1 Ce 2.64
C  0.2870  0.5000  0.2709  3 U 2.37-2.45, 1 Pa 2.60
C  0.7130  0.5000  0.7291  3 U 2.37-2.45, 1 Pa 2.60
C  0.7243  0.0000  0.2494  3 U 2.39-2.45, 2 Pa 2.58, 1 Ce 2.64

No. 4
This record from Alexandria via LeMat-Bulk describes an optimized crystal structure of BaTcF6. The functional is GGA-PBE.

Uncorrected formation energy ... -2.774 eV per atom

Cell: 6.0607 6.0607 6.0607 Å, 52.60 52.60 52.60°
With the nearest neighbours (Å) after each atom.
Atoms (fractional coordinates):
Ba  0.0000  0.0000  0.0000  12 F 3.03
Tc  0.5000  0.5000  0.5000  6 F 1.96
F  0.0912  0.5882  0.5882  1 Tc 1.96
F  0.4118  0.4118  0.9088  1 Tc 1.96
F  0.4118  0.9088  0.4118  1 Tc 1.96
F  0.5882  0.0912  0.5882  1 Tc 1.96
F  0.5882  0.5882  0.0912  1 Tc 1.96
F  0.9088  0.4118  0.4118  1 Tc 1.96

No. 5
This record from Alexandria via LeMat-Bulk describes an optimized crystal structure of Ce10Sn6Sb. The functional is GGA-PBE.

Uncorrected formation energy ... -0.613 eV per atom

Cell: 9.5151 9.5151 6.5227 Å, 90.00 90.00 120.00°
With the nearest neighbours (Å) after each atom.
Atoms (fractional coordinates):
Ce  0.0000  0.2740  0.2551  1 Sb 3.09, 5 Sn 3.23-3.44
Ce  0.0000  0.7260  0.7449  1 Sb 3.09, 5 Sn 3.23-3.44
Ce  0.2740  0.0000  0.2551  1 Sb 3.09, 5 Sn 3.23-3.44
Ce  0.2740  0.2740  0.7449  1 Sb 3.09, 5 Sn 3.23-3.44
Ce  0.3333  0.6667  0.0000  2 Ce 3.26, 6 Sn 3.39
Ce  0.3333  0.6667  0.5000  2 Ce 3.26, 6 Sn 3.40
Ce  0.6667  0.3333  0.0000  2 Ce 3.26, 6 Sn 3.39
Ce  0.6667  0.3333  0.5000  2 Ce 3.26, 6 Sn 3.40
Ce  0.7260  0.0000  0.7449  1 Sb 3.09, 5 Sn 3.23-3.44
Ce  0.7260  0.7260  0.2551  1 Sb 3.09, 5 Sn 3.23-3.44
Sn  0.0000  0.3797  0.7516  9 Ce 3.23-3.44
Sn  0.0000  0.6203  0.2484  9 Ce 3.23-3.44
Sn  0.3797  0.0000  0.7516  9 Ce 3.23-3.44
Sn  0.3797  0.3797  0.2484  9 Ce 3.23-3.44
Sn  0.6203  0.0000  0.2484  9 Ce 3.23-3.44
Sn  0.6203  0.6203  0.7516  9 Ce 3.23-3.44
Sb  0.0000  0.0000  0.0000  6 Ce 3.09

No. 6
This record from Alexandria via LeMat-Bulk describes an optimized crystal structure of La2SmTl. The functional is GGA-PBE.

Energy of formation from the pure elements ... -0.100 eV per atom

Cell: 6.5309 3.7657 11.4615 Å, 90.00 101.06 90.00°
With the nearest neighbours (Å) after each atom.
Atoms (fractional coordinates):
La  0.0000  0.0000  0.0000  3 Tl 3.44, 3 Sm 3.67, 6 La 3.77
La  0.1754  0.0000  0.5262  3 Tl 3.44, 3 Sm 3.67-3.68, 6 La 3.77
La  0.5000  0.5000  0.0000  3 Tl 3.44, 3 Sm 3.67, 6 La 3.77
La  0.6754  0.5000  0.5262  3 Tl 3.44, 3 Sm 3.67-3.68, 6 La 3.77
Sm  0.2548  0.5000  0.2626  6 La 3.67-3.68, 6 Sm 3.77
Sm  0.7548  0.0000  0.2626  6 La 3.67-3.68, 6 Sm 3.77
Tl  0.0881  0.5000  0.7630  6 La 3.44, 6 Tl 3.77
Tl  0.5881  0.0000  0.7630  6 La 3.44, 6 Tl 3.77

No. 7
This record from Alexandria via LeMat-Bulk describes an optimized crystal structure of UHS. The functional is GGA-PBE.

Cell: 6.0754 6.0754 6.0754 Å, 90.00 90.00 90.00°
With the nearest neighbours (Å) after each atom.
Atoms (fractional coordinates):
U  0.0000  0.0000  0.0000  4 S 2.63, 4 H 2.63
U  0.0000  0.5000  0.5000  4 S 2.63, 4 H 2.63
U  0.5000  0.0000  0.5000  4 S 2.63, 4 H 2.63
U  0.5000  0.5000  0.0000  4 S 2.63, 4 H 2.63
H  0.2500  0.2500  0.7500  4 U 2.63
H  0.2500  0.7500  0.2500  4 U 2.63
H  0.7500  0.2500  0.2500  4 U 2.63
H  0.7500  0.7500  0.7500  4 U 2.63
S  0.2500  0.2500  0.2500  4 U 2.63
S  0.2500  0.7500  0.7500  4 U 2.63
S  0.7500  0.2500  0.7500  4 U 2.63
S  0.7500  0.7500  0.2500  4 U 2.63

No. 8
This record from Alexandria via LeMat-Bulk describes an optimized crystal structure of Co2NiIr2. The functional is GGA-PBE.

Energy of formation from the pure elements ... 0.280 eV per atom

Cell: 7.0684 7.0684 2.6522 Å, 90.00 90.00 90.00°
With the nearest neighbours (Å) after each atom.
Atoms (fractional coordinates):
Co  0.1223  0.3777  0.0000  6 Ir 2.43-2.50, 3 Co 2.45-2.65
Co  0.3777  0.8777  0.0000  6 Ir 2.43-2.50, 3 Co 2.45-2.65
Co  0.6223  0.1223  0.0000  6 Ir 2.43-2.50, 3 Co 2.45-2.65
Co  0.8777  0.6223  0.0000  6 Ir 2.43-2.50, 3 Co 2.45-2.65
Ni  0.0000  0.0000  0.0000  2 Ni 2.65, 4 Co 2.81, 8 Ir 2.93
Ni  0.5000  0.5000  0.0000  2 Ni 2.65, 4 Co 2.81, 8 Ir 2.93
Ir  0.1737  0.6737  0.5000  6 Co 2.43-2.50, 2 Ir 2.65
Ir  0.3263  0.1737  0.5000  6 Co 2.43-2.50, 2 Ir 2.65
Ir  0.6737  0.8263  0.5000  6 Co 2.43-2.50, 2 Ir 2.65
Ir  0.8263  0.3263  0.5000  6 Co 2.43-2.50, 2 Ir 2.65

Record order is preserved below.
Calculated total energy: -2.145 -5.971 -9.595 -5.714 -5.759 -4.335 -6.936 -7.263 eV/atom